Entry 1:
A relaxed structure of Ce2TmPtRh5, computed with PBE.

The structure in POSCAR format:
```
Ce2TmPtRh5
1.0
-6.7954 4.3557 0.1728
-1.7971 -3.0909 7.2386
6.9829 3.4631 -1.2899
Ce Tm Pt Rh
4 2 2 10
direct
0.1377 0.3623 0.0000
0.6377 0.1377 0.0000
0.3623 0.8623 0.0000
0.8623 0.6377 0.0000
0.2500 0.2500 0.5000
0.7500 0.7500 0.5000
0.2500 0.7500 0.5000
0.7500 0.2500 0.5000
0.9360 0.4360 0.2745
0.6615 0.1615 0.7255
0.0640 0.5640 0.7255
0.1615 0.0640 0.7255
0.5640 0.6615 0.7255
0.8385 0.9360 0.2745
0.4360 0.3385 0.2745
0.3385 0.8385 0.2745
0.5000 0.5000 0.0000
0.0000 0.0000 0.0000
```

Output
Density ... 10.8 g cm⁻³
Calculated formation energy ... -423 meV per atom
Space-group type ... I4/mcm, No. 140
Uncorrected energy ... -0.2570 hartree per atom

=====

Entry 2:
A relaxed structure of CeTmPtRh, computed with PBE.

The structure in POSCAR format:
```
CeTmPtRh
1.0
4.9261 0.0000 0.0000
2.4631 4.2661 0.0000
2.4631 1.4220 4.0222
Tm Rh Ce Pt
1 1 1 1
direct
0.7500 0.7500 0.7500
0.5000 0.5000 0.5000
0.2500 0.2500 0.2500
0.0000 0.0000 0.0000
```

Output
Density ... 11.9 g cm⁻³
Calculated formation energy ... -935 meV per atom
Space-group type ... F-43m, No. 216
Relative energy among the computed polymorphs ... 0.1143 eV/atom
Uncorrected energy ... -0.2530 hartree per atom

=====

Entry 3:
A relaxed structure of CeYPtRh, computed with PBE.

The structure in POSCAR format:
```
CeYPtRh
1.0
4.9622 0.0000 0.0000
2.4811 4.2974 0.0000
2.4811 1.4325 4.0516
Y Rh Ce Pt
1 1 1 1
direct
0.5000 0.5000 0.5000
0.2500 0.2500 0.2500
0.0000 0.0000 0.0000
0.7500 0.7500 0.7500
```

Output
Density ... 10.1 g cm⁻³
Calculated formation energy ... -891 meV per atom
Space-group type ... F-43m, No. 216
Relative energy among the computed polymorphs ... 0.1186 eV/atom
Uncorrected energy ... -0.2697 hartree per atom

=====

Entry 4:
A relaxed structure of CeYPtRh, computed with PBE.

The structure in POSCAR format:
```
CeYPtRh
1.0
3.7950 0.0000 0.0000
0.0000 4.2482 0.0000
-1.8975 0.0000 5.5283
Ce Y Pt Rh
1 1 1 1
direct
0.8656 0.5000 0.7313
0.1417 0.0000 0.2834
0.5882 0.5000 0.1765
0.4044 0.0000 0.8088
```

Output
Density ... 9.8 g cm⁻³
Calculated formation energy ... -1010 meV per atom
Space-group type ... Amm2, No. 38
Relative energy among the computed polymorphs ... 0.0000 eV/atom
Uncorrected energy ... -0.2740 hartree per atom

=====

Entry 5:
A relaxed structure of CeZnPtRh, computed with PBE.

The structure in POSCAR format:
```
CeZnPtRh
1.0
3.9034 0.0000 0.0000
-1.9517 5.0061 -0.8326
0.0000 -0.8911 3.8002
Ce Zn Pt Rh
1 1 1 1
direct
0.0406 0.0812 0.8496
0.7906 0.5811 0.0996
0.2906 0.5812 0.5999
0.5406 0.0812 0.3495
```

Output
Density ... 11.7 g cm⁻³
Calculated formation energy ... -717 meV per atom
Space-group type ... I-4m2, No. 119
Relative energy among the computed polymorphs ... 0.0000 eV/atom
Uncorrected energy ... -0.2156 hartree per atom

=====

Entry 6:
A relaxed structure of CeZnPtRh, computed with PBE.

The structure in POSCAR format:
```
CeZnPtRh
1.0
4.6978 0.0000 0.0000
2.3489 4.0684 0.0000
2.3489 1.3561 3.8357
Zn Rh Ce Pt
1 1 1 1
direct
0.5000 0.5000 0.5000
0.2500 0.2500 0.2500
0.0000 0.0000 0.0000
0.7500 0.7500 0.7500
```

Output
Density ... 11.4 g cm⁻³
Calculated formation energy ... -666 meV per atom
Space-group type ... F-43m, No. 216
Relative energy among the computed polymorphs ... 0.0503 eV/atom
Uncorrected energy ... -0.2137 hartree per atom

=====

Entry 7:
A relaxed structure of Ce2Zn2Pt5Rh, computed with PBE.

The structure in POSCAR format:
```
Ce2Zn2Pt5Rh
1.0
3.9451 0.0000 0.0000
0.0000 9.4705 0.0000
0.0000 0.0000 9.4705
Ce Zn Pt Rh
4 4 10 2
direct
0.0000 0.6820 0.1820
0.0000 0.3180 0.8180
0.0000 0.1820 0.3180
0.0000 0.8180 0.6820
0.0000 0.1172 0.6172
0.0000 0.8828 0.3828
0.0000 0.6172 0.8828
0.0000 0.3828 0.1172
0.5000 0.2046 0.0649
0.5000 0.7954 0.9351
0.5000 0.0649 0.7954
0.5000 0.7046 0.4351
0.5000 0.9351 0.2046
0.5000 0.2954 0.5649
0.5000 0.5649 0.7046
0.5000 0.4351 0.2954
0.5000 0.5000 0.0000
0.5000 0.0000 0.5000
0.0000 0.0000 0.0000
0.0000 0.5000 0.5000
```

Output
Density ... 14.0 g cm⁻³
Calculated formation energy ... -678 meV per atom
Space-group type ... P4/mbm, No. 127
Uncorrected energy ... -0.2159 hartree per atom

=====

Entry 8:
A relaxed structure of Ce8Ru5Pt, computed with PBE.

The structure in POSCAR format:
```
Ce8Ru5Pt
1.0
-4.2053 0.6816 6.1384
3.2729 -6.7168 0.0474
5.2969 5.2673 -0.1700
Ce Ru Pt
8 5 1
direct
0.1172 0.7572 0.9913
0.0087 0.1259 0.7659
0.7357 0.2493 0.3762
0.6238 0.3595 0.8730
0.5136 0.6405 0.2643
0.6400 0.8741 0.8828
0.2341 0.2428 0.3600
0.1270 0.7507 0.4864
0.0160 0.3863 0.1338
0.8662 0.8822 0.2525
0.7475 0.6137 0.6297
0.5000 0.0000 0.5000
0.3703 0.1178 0.9840
0.2500 0.5000 0.7500
```

Output
Density ... 9.4 g cm⁻³
Calculated formation energy ... -438 meV per atom
Space-group type ... I-4, No. 82
Uncorrected energy ... -0.2783 hartree per atom

=====

Entry 9:
A relaxed structure of Ce4RuPt2, computed with PBE.

The structure in POSCAR format:
```
Ce4RuPt2
1.0
7.7468 -0.8277 -0.1515
-1.3844 7.6668 0.1505
-3.0688 -3.5232 6.2361
Ce Ru Pt
8 2 4
direct
0.9343 0.2317 0.2983
0.3164 0.5182 0.2026
0.9337 0.6362 0.7019
0.7684 0.0664 0.7023
0.3637 0.0657 0.2975
0.3159 0.1140 0.7976
0.4818 0.6842 0.7980
0.8859 0.6835 0.2019
0.2498 0.7499 0.4999
0.0001 0.0002 0.0000
0.6247 0.3750 0.7496
0.6251 0.8749 0.2501
0.6250 0.3745 0.2497
0.1252 0.3756 0.7506
```

Output
Density ... 9.6 g cm⁻³
Calculated formation energy ... -653 meV per atom
Space-group type ... I4_1/amd, No. 141
Uncorrected energy ... -0.2607 hartree per atom

=====

Entry 10:
A relaxed structure of Ce3RuPt, computed with PBE.

The structure in POSCAR format:
```
Ce3RuPt
1.0
-3.3621 -2.8291 -1.1066
1.8098 -5.4555 -0.8416
0.1309 -3.7196 9.1047
Ce Ru Pt
6 2 2
direct
0.2563 0.8770 0.5843
0.5242 0.3412 0.3656
0.5596 0.2705 0.7990
0.2917 0.8063 0.0177
0.8438 0.7014 0.3148
0.9721 0.4461 0.0686
0.6326 0.1248 0.0728
0.1833 0.0227 0.3106
0.9831 0.4229 0.5969
0.8328 0.7247 0.7864
```

Output
Density ... 10.3 g cm⁻³
Calculated formation energy ... -572 meV per atom
Space-group type ... C2/m, No. 12
Relative energy among the computed polymorphs ... 0.0080 eV/atom
Uncorrected energy ... -0.2644 hartree per atom

=====

Entry 11:
A relaxed structure of Ce5Ru2Pt2, computed with PBE.

The structure in POSCAR format:
```
Ce5Ru2Pt2
1.0
-3.4018 3.5753 4.4156
-6.1905 -1.8368 -3.2820
4.1249 -8.0011 4.6907
Ce Ru Pt
10 4 4
direct
0.2544 0.6502 0.8617
0.7456 0.7885 0.1383
0.1073 0.1502 0.8617
0.8927 0.2885 0.1383
0.3230 0.0145 0.3267
0.6770 0.6878 0.6733
0.5037 0.5145 0.3267
0.4963 0.1878 0.6733
0.1084 0.7402 0.5000
0.8916 0.2402 0.5000
0.0000 0.9416 0.0000
0.5000 0.4416 0.0000
0.2345 0.4183 0.5000
0.7655 0.9183 0.5000
0.1632 0.6174 0.1399
0.8368 0.4775 0.8601
0.4767 0.1174 0.1399
0.5233 0.9775 0.8601
```

Output
Density ... 10.1 g cm⁻³
Calculated formation energy ... -572 meV per atom
Space-group type ... Ima2, No. 46
Uncorrected energy ... -0.2672 hartree per atom

=====

Entry 12:
A relaxed structure of Ce7Ru2Pt, computed with PBE.

The structure in POSCAR format:
```
Ce7Ru2Pt
1.0
-1.8040 -0.9083 -4.4415
0.1893 -7.6928 1.4963
-7.0073 2.6545 2.3034
Ce Ru Pt
7 2 1
direct
0.0000 0.7536 0.2464
0.0000 0.2464 0.7536
0.5000 0.0786 0.2906
0.5000 0.9214 0.7094
0.5000 0.2906 0.0786
0.5000 0.7094 0.9214
0.5000 0.5000 0.5000
0.5000 0.6968 0.3032
0.5000 0.3032 0.6968
0.0000 0.0000 0.0000
```

Output
Density ... 8.0 g cm⁻³
Calculated formation energy ... -116 meV per atom
Space-group type ... Cmmm, No. 65
Uncorrected energy ... -0.2473 hartree per atom

=====

| no. | N(E_F) (states/eV/f.u.) |
| --- | --- |
| 1 | 8.4 |
| 2 | 7.0 |
| 3 | 7.6 |
| 4 | 5.1 |
| 5 | 3.4 |
| 6 | 4.5 |
| 7 | 6.7 |
| 8 | 23.1 |
| 9 | 17.7 |
| 10 | 9.5 |
| 11 | 18.2 |
| 12 | 26.0 |